Rb2CaIn2 after structural relaxation. Source: the Alexandria database, functional GGA-PBE.

Cell and atoms, written as CIF:
```
data_Rb2CaIn2
_chemical_formula_sum 'Rb4 Ca2 In4'
_cell_length_a 8.449
_cell_length_b 8.449
_cell_length_c 6.358
_cell_angle_alpha 90.00
_cell_angle_beta 90.00
_cell_angle_gamma 90.00
_symmetry_space_group_name_H-M 'P 4/m b m'
_symmetry_Int_Tables_number 127
_symmetry_space_group_name_Hall '-P 4 2ab'
loop_
_atom_site_label
_atom_site_fract_x
_atom_site_fract_y
_atom_site_fract_z
_atom_site_occupancy
Rb1 0.177 0.323 0.000 1
Ca1 0.000 0.000 0.500 1
In1 0.121 0.621 0.500 1
```

Results
N(E_F): 11.4 states/eV/cell
Calculated volume: 45.382 Å³/atom
ΔH_f (0 K): 0.020 eV per atom